# 1
First-principles (GGA-PBE) data for a relaxed structure of CdHgSe4, as listed in Alexandria.

Unit cell a=5.856 b=5.856 c=5.856 alpha=60.00 beta=60.00 gamma=60.00
Positions (direct):
1 Cd 0.750 0.750 0.750
2 Hg 0.000 0.000 0.000
3 Se 0.374 0.877 0.374
4 Se 0.877 0.374 0.374
5 Se 0.374 0.374 0.877
6 Se 0.374 0.374 0.374

Results
As for the size of the total moment: 0.0 μB per formula unit. As for the formation energy (no corrections): 370 meV per atom. Its volume is 23.7 A^3/atom. Its space group is F-43m (216).

***

# 2
First-principles (GGA-PBE) data for a relaxed structure of Cd2HgSe2, as listed in Alexandria.

Unit cell a=4.587 b=4.587 c=8.031 alpha=73.41 beta=73.41 gamma=90.00
Positions (direct):
1 Hg 0.000 0.000 0.000
2 Se 0.354 0.354 0.292
3 Se 0.646 0.646 0.708
4 Cd 0.750 0.250 0.500
5 Cd 0.250 0.750 0.500

Results
As for the size of the total moment: 0.0 μB per formula unit. As for the formation energy (no corrections): -344 meV per atom. Its volume is 30.9 A^3/atom. Its space group is I4/mmm (139).

***

> The lowest formation energy (no corrections) belongs to which entry?

Cd2HgSe2

***

> Which of these has the lowest formation energy (no corrections)?

Cd2HgSe2